# Pm2VNi3As4 (GGA-PBE, relaxed)
data_Pm2VNi3As4
_cell_length_a 4.1925
_cell_length_b 4.1925
_cell_length_c 9.8391
_cell_angle_alpha 90.00
_cell_angle_beta 90.00
_cell_angle_gamma 90.00
_space_group_name_H-M_alt 'P -4 m 2'
_space_group_IT_number 115
loop_
_space_group_symop_operation_xyz
'x,y,z'
'y,-x,-z'
'-x,-y,z'
'-y,x,-z'
'-x,y,z'
'-y,-x,-z'
'x,-y,z'
'y,x,-z'
loop_
_atom_site_label
_atom_site_type_symbol
_atom_site_fract_x
_atom_site_fract_y
_atom_site_fract_z
Pm1 Pm 0.0000 0.5000 0.2386
V1 V 0.0000 0.0000 0.5000
Ni1 Ni 0.0000 0.5000 0.8833
Ni2 Ni 0.5000 0.5000 0.5000
As1 As 0.0000 0.0000 0.0000
As2 As 0.0000 0.5000 0.6398
As3 As 0.5000 0.5000 0.0000
# - theoretical density (kg/m3) = 7842
# - energy (eV/atom) = -6.228
# - total moment (Bohr magnetons per cell) = 2.4
# - DFT formation energy (meV/atom) = -772